4
Lattice="-1.292 -1.498 -4.386 -4.315 -2.018 -0.680 -3.404 2.365 -2.444" Properties=species:S:1:pos:R:3 comment="PBE GdErOsRu, relaxed" e_form_mev_per_atom=-170 space_group="No. 216" pbc="T T T"
Ru -6.758 -0.864 -5.633
Os -2.253 -0.288 -1.878
Gd 0.000 0.000 0.000
Er -4.505 -0.576 -3.755